Tb6Tm2ThSc | PBE-GGA | relaxed

Properties
Formation energy from the elements, eV per atom: 0.147
Raw total energy, eV per atom: -4.900
Space-group type: No. 15

a = 8.671 Å, b = 9.050 Å, c = 9.050 Å
α = 117.89°, β = 90.70°, γ = 90.70°
Atoms (fractional coordinates):
Th: 0.250 0.968 0.032
Th: 0.750 0.032 0.968
Tb: 0.094 0.734 0.482
Tb: 0.788 0.450 0.039
Tb: 0.594 0.482 0.734
Tb: 0.947 0.861 0.206
Tb: 0.406 0.518 0.266
Tb: 0.447 0.206 0.861
Tb: 0.906 0.266 0.518
Tb: 0.212 0.550 0.961
Tb: 0.712 0.961 0.550
Tb: 0.053 0.139 0.794
Tb: 0.288 0.039 0.450
Tb: 0.553 0.794 0.139
Sc: 0.250 0.440 0.560
Sc: 0.750 0.560 0.440
Tm: 0.559 0.211 0.325
Tm: 0.059 0.325 0.211
Tm: 0.441 0.789 0.675
Tm: 0.941 0.675 0.789

***

Tb3Tm6Th2Sc | PBE-GGA | relaxed

Properties
Formation energy from the elements, eV per atom: 0.022
Raw total energy, eV per atom: -5.135
Space-group type: No. 12

a = 6.061 Å, b = 6.061 Å, c = 11.613 Å
α = 95.00°, β = 95.00°, γ = 119.99°
Atoms (fractional coordinates):
Tb: 0.834 0.166 0.500
Tb: 0.166 0.834 0.500
Tb: 0.500 0.500 0.500
Th: 0.667 0.333 0.000
Th: 0.333 0.667 0.000
Tm: 0.585 0.918 0.754
Tm: 0.082 0.415 0.246
Tm: 0.918 0.585 0.754
Tm: 0.415 0.082 0.246
Tm: 0.252 0.252 0.753
Tm: 0.748 0.748 0.247
Sc: 0.000 0.000 0.000

***

Tb2Tm5ThSc | PBE-GGA | relaxed

Properties
Formation energy from the elements, eV per atom: 0.175
Raw total energy, eV per atom: -4.866
Space-group type: No. 36

a = 5.577 Å, b = 11.139 Å, c = 9.362 Å
α = 90.00°, β = 90.00°, γ = 104.50°
Atoms (fractional coordinates):
Tm: 0.268 0.535 0.330
Tm: 0.732 0.465 0.830
Tm: 0.394 0.787 0.043
Tm: 0.472 0.944 0.747
Tm: 0.988 0.976 0.513
Tm: 0.606 0.213 0.543
Tm: 0.012 0.024 0.013
Tm: 0.528 0.056 0.247
Tm: 0.696 0.391 0.220
Tm: 0.304 0.609 0.720
Tb: 0.135 0.269 0.709
Tb: 0.885 0.770 0.817
Tb: 0.865 0.731 0.209
Tb: 0.115 0.230 0.317
Th: 0.599 0.199 0.929
Th: 0.401 0.801 0.429
Sc: 0.807 0.613 0.515
Sc: 0.193 0.387 0.015

***

Tb2Y5ThSc | PBE-GGA | relaxed

Properties
Formation energy from the elements, eV per atom: 0.170
Raw total energy, eV per atom: -5.978
Space-group type: No. 36

a = 5.665 Å, b = 11.247 Å, c = 9.506 Å
α = 90.00°, β = 90.00°, γ = 104.59°
Atoms (fractional coordinates):
Tb: 0.868 0.736 0.212
Tb: 0.115 0.230 0.321
Tb: 0.885 0.770 0.821
Tb: 0.132 0.264 0.712
Th: 0.600 0.199 0.927
Th: 0.400 0.801 0.427
Y: 0.013 0.027 0.012
Y: 0.528 0.057 0.247
Y: 0.987 0.973 0.512
Y: 0.392 0.785 0.044
Y: 0.304 0.607 0.717
Y: 0.732 0.464 0.830
Y: 0.472 0.943 0.747
Y: 0.268 0.536 0.330
Y: 0.608 0.215 0.544
Y: 0.696 0.393 0.217
Sc: 0.811 0.623 0.515
Sc: 0.189 0.377 0.015

***

TbY2ThSc | PBE-GGA | relaxed

Properties
Formation energy from the elements, eV per atom: 0.053
Raw total energy, eV per atom: -6.209
Space-group type: No. 11

a = 5.001 Å, b = 7.820 Å, c = 7.857 Å
α = 90.46°, β = 90.00°, γ = 90.00°
Atoms (fractional coordinates):
Th: 0.250 0.946 0.853
Th: 0.750 0.054 0.147
Y: 0.750 0.842 0.552
Y: 0.250 0.158 0.448
Y: 0.750 0.653 0.950
Y: 0.250 0.347 0.050
Tb: 0.250 0.752 0.253
Tb: 0.750 0.248 0.747
Sc: 0.750 0.450 0.353
Sc: 0.250 0.550 0.647

***

TbY2ThSc4 | PBE-GGA | relaxed

Properties
Formation energy from the elements, eV per atom: 0.046
Raw total energy, eV per atom: -6.242
Space-group type: No. 123

a = 4.968 Å, b = 4.974 Å, c = 10.392 Å
α = 61.42°, β = 90.00°, γ = 90.00°
Atoms (fractional coordinates):
Sc: 0.000 0.248 0.252
Sc: 0.500 0.748 0.252
Sc: 0.500 0.253 0.748
Sc: 0.000 0.752 0.748
Th: 0.000 0.500 0.500
Tb: 0.500 0.500 0.000
Y: 0.000 0.000 0.000
Y: 0.500 0.000 0.500